[1]
Here is a relaxed Mg3TeMo crystal from Alexandria via LeMat-Bulk. Energies are from PBE.

Theoretical density ... 3.21 Mg/m³
Size of the total moment ... 4.11 μB/cell
Crystal system ... cubic
Excess energy over the best structure of this formula in the dataset ... 147 meV per atom

Structure (CIF):
```
data_Mg3TeMo
_symmetry_space_group_name_H-M 'P m -3 m'
_symmetry_Int_Tables_number 221
_symmetry_space_group_name_Hall '-P 4 2 3'
_cell_length_a 5.353
_cell_length_b 5.353
_cell_length_c 5.353
_cell_angle_alpha 90.00
_cell_angle_beta 90.00
_cell_angle_gamma 90.00
loop_
_atom_site_label
_atom_site_fract_x
_atom_site_fract_y
_atom_site_fract_z
Mg1 0.000 0.000 0.500
Te1 0.000 0.000 0.000
Mo1 0.500 0.500 0.500
```

[2]
Here is a relaxed YScPa2P4 crystal from Alexandria via LeMat-Bulk. Energies are from PBE.

Theoretical density ... 6.97 Mg/m³
ΔH_f (0 K) ... -1.413 eV/atom
Size of the total moment ... 0.00 μB/cell
Crystal system ... monoclinic

Structure (CIF):
```
data_YScPa2P4
_symmetry_space_group_name_H-M 'P 1 2/m 1'
_symmetry_Int_Tables_number 10
_cell_length_a 6.780
_cell_length_b 3.939
_cell_length_c 6.816
_cell_angle_alpha 90.00
_cell_angle_beta 109.60
_cell_angle_gamma 90.00
loop_
_symmetry_equiv_pos_as_xyz
'x,y,z'
'-x,-y,-z'
'-x,y,-z'
'x,-y,z'
loop_
_atom_site_label
_atom_site_fract_x
_atom_site_fract_y
_atom_site_fract_z
Y1 0.000 0.000 0.000
Sc1 0.000 0.500 0.500
Pa1 0.500 0.000 0.500
Pa2 0.500 0.500 0.000
P1 0.244 0.000 0.741
P2 0.248 0.500 0.256
```

[3]
Here is a relaxed NaV2N crystal from Alexandria via LeMat-Bulk. Energies are from PBE.

Theoretical density ... 2.96 Mg/m³
Size of the total moment ... 5.48 μB/cell
Crystal system ... tetragonal
Uncorrected energy ... -6.7328 eV/atom

Structure (CIF):
```
data_NaV2N
_symmetry_space_group_name_H-M 'I -4 2 d'
_symmetry_Int_Tables_number 122
_symmetry_space_group_name_Hall 'I -4 2bw'
_cell_length_a 6.045
_cell_length_b 6.045
_cell_length_c 8.539
_cell_angle_alpha 90.00
_cell_angle_beta 90.00
_cell_angle_gamma 90.00
loop_
_atom_site_label
_atom_site_fract_x
_atom_site_fract_y
_atom_site_fract_z
Na1 0.000 0.000 0.000
V1 0.001 0.750 0.625
N1 0.000 0.000 0.500
```

[4]
Here is a relaxed ErSiPd crystal from Alexandria via LeMat-Bulk. Energies are from PBE.

Theoretical density ... 9.10 Mg/m³
Size of the total moment ... 0.00 μB/cell
Crystal system ... hexagonal
Uncorrected energy ... -6.0146 eV/atom

Structure (CIF):
```
data_ErSiPd
_symmetry_space_group_name_H-M 'P -6 2 m'
_symmetry_Int_Tables_number 189
_symmetry_space_group_name_Hall 'P -6 -2'
_cell_length_a 6.8321
_cell_length_b 6.8321
_cell_length_c 4.0880
_cell_angle_alpha 90.00
_cell_angle_beta 90.00
_cell_angle_gamma 120.00
loop_
_atom_site_label
_atom_site_fract_x
_atom_site_fract_y
_atom_site_fract_z
Er1 0.0000 0.4231 0.0000
Si1 0.0000 0.0000 0.0000
Si2 0.3333 0.6667 0.5000
Pd1 0.0000 0.7557 0.5000
```

[5]
Here is a relaxed TaSb2PdI crystal from Alexandria via LeMat-Bulk. Energies are from PBE.

Theoretical density ... 7.75 Mg/m³
Size of the total moment ... 1.92 μB/cell
Crystal system ... tetragonal
Excess energy over the best structure of this formula in the dataset ... 328 meV per atom

Structure (CIF):
```
data_TaSb2PdI
_symmetry_space_group_name_H-M 'P 4/m m m'
_symmetry_Int_Tables_number 123
_symmetry_space_group_name_Hall '-P 4 2'
_cell_length_a 5.149
_cell_length_b 5.149
_cell_length_c 5.316
_cell_angle_alpha 90.00
_cell_angle_beta 90.00
_cell_angle_gamma 90.00
loop_
_atom_site_label
_atom_site_fract_x
_atom_site_fract_y
_atom_site_fract_z
Ta1 0.000 0.000 0.000
Sb1 0.000 0.500 0.500
Pd1 0.500 0.500 0.500
I1 0.500 0.500 0.000
```

[6]
Here is a relaxed MgTcW3 crystal from Alexandria via LeMat-Bulk. Energies are from PBE.

Theoretical density ... 10.47 Mg/m³
ΔH_f (0 K) ... 1.759 eV/atom
Size of the total moment ... 0.00 μB/cell
Crystal system ... cubic
Excess energy over the best structure of this formula in the dataset ... 0 meV per atom

Structure (CIF):
```
data_MgTcW3
_symmetry_space_group_name_H-M 'P m -3 m'
_symmetry_Int_Tables_number 221
_symmetry_space_group_name_Hall '-P 4 2 3'
_cell_length_a 4.745
_cell_length_b 4.745
_cell_length_c 4.745
_cell_angle_alpha 90.00
_cell_angle_beta 90.00
_cell_angle_gamma 90.00
loop_
_atom_site_label
_atom_site_fract_x
_atom_site_fract_y
_atom_site_fract_z
Mg1 0.000 0.000 0.000
Tc1 0.500 0.500 0.500
W1 0.000 0.500 0.500
```

[7]
Here is a relaxed LiGaRu crystal from Alexandria via LeMat-Bulk. Energies are from PBE.

Theoretical density ... 7.09 Mg/m³
ΔH_f (0 K) ... -0.237 eV/atom
Size of the total moment ... 0.00 μB/cell
Crystal system ... hexagonal
Excess energy over the best structure of this formula in the dataset ... 7 meV per atom

Structure (CIF):
```
data_LiGaRu
_symmetry_space_group_name_H-M 'P 63/m m c'
_symmetry_Int_Tables_number 194
_symmetry_space_group_name_Hall '-P 6c 2c'
_cell_length_a 4.3660
_cell_length_b 4.3660
_cell_length_c 5.0460
_cell_angle_alpha 90.00
_cell_angle_beta 90.00
_cell_angle_gamma 120.00
loop_
_atom_site_label
_atom_site_fract_x
_atom_site_fract_y
_atom_site_fract_z
Li1 0.0000 0.0000 0.0000
Ga1 0.3333 0.6667 0.2500
Ru1 0.3333 0.6667 0.7500
```

[8]
Here is a relaxed LiScMn3 crystal from Alexandria via LeMat-Bulk. Energies are from PBE.

Theoretical density ... 3.27 Mg/m³
ΔH_f (0 K) ... 1.237 eV/atom
Size of the total moment ... 10.32 μB/cell
Crystal system ... cubic
Excess energy over the best structure of this formula in the dataset ... 490 meV per atom

Structure (CIF):
```
data_LiScMn3
_symmetry_space_group_name_H-M 'P m -3 m'
_symmetry_Int_Tables_number 221
_symmetry_space_group_name_Hall '-P 4 2 3'
_cell_length_a 4.792
_cell_length_b 4.792
_cell_length_c 4.792
_cell_angle_alpha 90.00
_cell_angle_beta 90.00
_cell_angle_gamma 90.00
loop_
_atom_site_label
_atom_site_fract_x
_atom_site_fract_y
_atom_site_fract_z
Li1 0.000 0.000 0.000
Sc1 0.500 0.500 0.500
Mn1 0.000 0.500 0.500
```